First-principles (PBE) data for a relaxed CuPbSeO2 crystal, as listed in Alexandria via LeMat-Bulk.

Properties
Space-group type = No. 123
Density = 6.3 Mg/m³
Energy relative to the elements, uncorrected = 0.7 eV per formula unit
Magnetic moment = 0.0 Bohr magnetons per cell

```
data_CuPbSeO2
_cell_length_a 4.062
_cell_length_b 4.062
_cell_length_c 6.057
_cell_angle_alpha 90.00
_cell_angle_beta 90.00
_cell_angle_gamma 90.00
_symmetry_space_group_name_H-M 'P 1'
_symmetry_Int_Tables_number 1
_symmetry_space_group_name_Hall 'P 1'
loop_
_atom_site_label
_atom_site_type_symbol
_atom_site_fract_x
_atom_site_fract_y
_atom_site_fract_z
Cu1 Cu 0.000 0.000 0.000
Pb1 Pb 0.500 0.500 0.500
Se1 Se 0.500 0.500 0.000
O1 O 0.000 0.500 0.500
O2 O 0.500 0.000 0.500
```

***

First-principles (PBE) data for a relaxed Cu2SiPbO4 crystal, as listed in Alexandria via LeMat-Bulk.

Properties
Space-group type = No. 42
Density = 6.9 Mg/m³
Energy relative to the elements, uncorrected = -10.9 eV per formula unit
Magnetic moment = 0.0 Bohr magnetons per cell

```
data_Cu2SiPbO4
_cell_length_a 5.284
_cell_length_b 5.074
_cell_length_c 5.409
_cell_angle_alpha 60.44
_cell_angle_beta 56.64
_cell_angle_gamma 62.91
_symmetry_space_group_name_H-M 'P 1'
_symmetry_Int_Tables_number 1
_symmetry_space_group_name_Hall 'P 1'
loop_
_atom_site_label
_atom_site_type_symbol
_atom_site_fract_x
_atom_site_fract_y
_atom_site_fract_z
Cu1 Cu 0.000 0.000 0.500
Cu2 Cu 0.500 0.500 0.000
Si1 Si 0.290 0.290 0.710
Pb1 Pb 0.796 0.796 0.204
O1 O 0.267 0.604 0.396
O2 O 0.331 0.970 0.669
O3 O 0.604 0.267 0.733
O4 O 0.970 0.331 0.030
```

***

First-principles (PBE) data for a relaxed Sm2CuPbO5 crystal, as listed in Alexandria via LeMat-Bulk.

Properties
Space-group type = No. 127
Density = 7.6 Mg/m³
Energy relative to the elements, uncorrected = -15.4 eV per formula unit
Magnetic moment = 1.2 Bohr magnetons per cell

```
data_Sm2CuPbO5
_cell_length_a 6.699
_cell_length_b 6.699
_cell_length_c 6.377
_cell_angle_alpha 90.00
_cell_angle_beta 90.00
_cell_angle_gamma 90.00
_symmetry_space_group_name_H-M 'P 1'
_symmetry_Int_Tables_number 1
_symmetry_space_group_name_Hall 'P 1'
loop_
_atom_site_label
_atom_site_type_symbol
_atom_site_fract_x
_atom_site_fract_y
_atom_site_fract_z
Sm1 Sm 0.175 0.325 0.000
Sm2 Sm 0.325 0.825 0.000
Sm3 Sm 0.675 0.175 0.000
Sm4 Sm 0.825 0.675 0.000
Cu1 Cu 0.000 0.000 0.500
Cu2 Cu 0.500 0.500 0.500
Pb1 Pb 0.000 0.500 0.500
Pb2 Pb 0.500 0.000 0.500
O1 O 0.000 0.000 0.000
O2 O 0.143 0.643 0.230
O3 O 0.143 0.643 0.770
O4 O 0.357 0.143 0.230
O5 O 0.357 0.143 0.770
O6 O 0.500 0.500 0.000
O7 O 0.643 0.857 0.230
O8 O 0.643 0.857 0.770
O9 O 0.857 0.357 0.230
O10 O 0.857 0.357 0.770
```

***

First-principles (PBE) data for a relaxed SmCu2PbO5 crystal, as listed in Alexandria via LeMat-Bulk.

Properties
Space-group type = No. 123
Density = 8.1 Mg/m³
Energy relative to the elements, uncorrected = -12.4 eV per formula unit
Magnetic moment = 1.0 Bohr magnetons per cell

```
data_SmCu2PbO5
_cell_length_a 3.863
_cell_length_b 3.863
_cell_length_c 7.726
_cell_angle_alpha 90.00
_cell_angle_beta 90.00
_cell_angle_gamma 90.00
_symmetry_space_group_name_H-M 'P 1'
_symmetry_Int_Tables_number 1
_symmetry_space_group_name_Hall 'P 1'
loop_
_atom_site_label
_atom_site_type_symbol
_atom_site_fract_x
_atom_site_fract_y
_atom_site_fract_z
Sm1 Sm 0.000 0.000 0.000
Cu1 Cu 0.500 0.500 0.238
Cu2 Cu 0.500 0.500 0.762
Pb1 Pb 0.000 0.000 0.500
O1 O 0.000 0.500 0.192
O2 O 0.000 0.500 0.808
O3 O 0.500 0.000 0.192
O4 O 0.500 0.000 0.808
O5 O 0.500 0.500 0.500
```

***

First-principles (PBE) data for a relaxed CuSnPbO4 crystal, as listed in Alexandria via LeMat-Bulk.

Properties
Space-group type = No. 74
Density = 7.3 Mg/m³
Energy relative to the elements, uncorrected = -7.7 eV per formula unit
Magnetic moment = 2.0 Bohr magnetons per cell

```
data_CuSnPbO4
_cell_length_a 6.841
_cell_length_b 6.841
_cell_length_c 6.841
_cell_angle_alpha 126.69
_cell_angle_beta 123.45
_cell_angle_gamma 81.45
_symmetry_space_group_name_H-M 'P 1'
_symmetry_Int_Tables_number 1
_symmetry_space_group_name_Hall 'P 1'
loop_
_atom_site_label
_atom_site_type_symbol
_atom_site_fract_x
_atom_site_fract_y
_atom_site_fract_z
Cu1 Cu 0.500 0.000 0.000
Cu2 Cu 0.500 0.500 0.500
Sn1 Sn 0.000 0.000 0.000
Sn2 Sn 0.500 0.000 0.500
Pb1 Pb 0.089 0.339 0.750
Pb2 Pb 0.911 0.661 0.250
O1 O 0.239 0.209 0.470
O2 O 0.239 0.769 0.030
O3 O 0.257 0.205 0.052
O4 O 0.347 0.795 0.552
O5 O 0.653 0.205 0.448
O6 O 0.743 0.795 0.948
O7 O 0.761 0.231 0.970
O8 O 0.761 0.791 0.530
```

***

First-principles (PBE) data for a relaxed Sr2Cu3PbO6 crystal, as listed in Alexandria via LeMat-Bulk.

Properties
Space-group type = No. 123
Density = 6.2 Mg/m³
Energy relative to the elements, uncorrected = -16.0 eV per formula unit
Magnetic moment = 0.5 Bohr magnetons per cell

```
data_Sr2Cu3PbO6
_cell_length_a 3.833
_cell_length_b 3.833
_cell_length_c 12.272
_cell_angle_alpha 90.00
_cell_angle_beta 90.00
_cell_angle_gamma 90.00
_symmetry_space_group_name_H-M 'P 1'
_symmetry_Int_Tables_number 1
_symmetry_space_group_name_Hall 'P 1'
loop_
_atom_site_label
_atom_site_type_symbol
_atom_site_fract_x
_atom_site_fract_y
_atom_site_fract_z
Sr1 Sr 0.000 0.000 0.201
Sr2 Sr 0.000 0.000 0.799
Cu1 Cu 0.500 0.500 0.000
Cu2 Cu 0.500 0.500 0.346
Cu3 Cu 0.500 0.500 0.654
Pb1 Pb 0.000 0.000 0.500
O1 O 0.000 0.500 0.348
O2 O 0.000 0.500 0.652
O3 O 0.500 0.000 0.348
O4 O 0.500 0.000 0.652
O5 O 0.500 0.500 0.145
O6 O 0.500 0.500 0.855
```

***

First-principles (PBE) data for a relaxed Sr2CuPbO6 crystal, as listed in Alexandria via LeMat-Bulk.

Properties
Space-group type = No. 123
Density = 6.5 Mg/m³
Energy relative to the elements, uncorrected = -14.2 eV per formula unit
Magnetic moment = 0.8 Bohr magnetons per cell

```
data_Sr2CuPbO6
_cell_length_a 4.138
_cell_length_b 4.138
_cell_length_c 8.094
_cell_angle_alpha 90.00
_cell_angle_beta 90.00
_cell_angle_gamma 90.00
_symmetry_space_group_name_H-M 'P 1'
_symmetry_Int_Tables_number 1
_symmetry_space_group_name_Hall 'P 1'
loop_
_atom_site_label
_atom_site_type_symbol
_atom_site_fract_x
_atom_site_fract_y
_atom_site_fract_z
Sr1 Sr 0.000 0.000 0.221
Sr2 Sr 0.000 0.000 0.779
Cu1 Cu 0.500 0.500 0.000
Pb1 Pb 0.500 0.500 0.500
O1 O 0.000 0.500 0.000
O2 O 0.000 0.500 0.500
O3 O 0.500 0.000 0.000
O4 O 0.500 0.000 0.500
O5 O 0.500 0.500 0.229
O6 O 0.500 0.500 0.771
```

***

First-principles (PBE) data for a relaxed SrCuPb2O4 crystal, as listed in Alexandria via LeMat-Bulk.

Properties
Space-group type = No. 63
Density = 8.1 Mg/m³
Energy relative to the elements, uncorrected = -9.8 eV per formula unit
Magnetic moment = 0.2 Bohr magnetons per cell

```
data_SrCuPb2O4
_cell_length_a 6.306
_cell_length_b 6.306
_cell_length_c 12.027
_cell_angle_alpha 90.00
_cell_angle_beta 90.00
_cell_angle_gamma 147.26
_symmetry_space_group_name_H-M 'P 1'
_symmetry_Int_Tables_number 1
_symmetry_space_group_name_Hall 'P 1'
loop_
_atom_site_label
_atom_site_type_symbol
_atom_site_fract_x
_atom_site_fract_y
_atom_site_fract_z
Sr1 Sr 0.096 0.904 0.750
Sr2 Sr 0.904 0.096 0.250
Cu1 Cu 0.178 0.822 0.250
Cu2 Cu 0.822 0.178 0.750
Pb1 Pb 0.369 0.631 0.550
Pb2 Pb 0.369 0.631 0.950
Pb3 Pb 0.631 0.369 0.050
Pb4 Pb 0.631 0.369 0.450
O1 O 0.000 0.000 0.000
O2 O 0.000 0.000 0.500
O3 O 0.294 0.706 0.134
O4 O 0.294 0.706 0.366
O5 O 0.431 0.569 0.750
O6 O 0.569 0.431 0.250
O7 O 0.706 0.294 0.634
O8 O 0.706 0.294 0.866
```